(1)
Material: Ag2HgAu
Method: DFT, PBE
State: relaxed

Cell lengths 4.2890, 2.9652, 6.6121 Å; angles 64.49, 90.00, 90.00 degrees
Atoms (fractional coordinates):
Ag1 0.0000 0.5088 0.4922
Hg1 0.5000 0.7500 0.7500
Ag2 0.0000 0.9912 0.0078
Au1 0.5000 0.2500 0.2500

Summary:
Fermi-level density of states = 1.022 states/eV/f.u.
E = -2.2983 eV per atom

---

(2)
Material: Ag2HgAu4
Method: DFT, PBE
State: relaxed

Cell lengths 10.1274, 5.4792, 5.7163 Å; angles 118.64, 90.00, 90.00 degrees
Atoms (fractional coordinates):
Au1 0.2166 0.4963 0.0000
Hg1 0.0000 0.0000 0.0000
Ag1 0.5000 0.8115 0.6231
Ag2 0.0000 0.6885 0.3769
Hg2 0.5000 0.5000 0.0000
Au2 0.7834 0.5037 0.0000
Au3 0.7500 0.0025 0.5000
Ag3 0.0000 0.3115 0.6231
Au4 0.2500 0.4975 0.5000
Au5 0.2500 0.9976 0.5000
Au6 0.2834 0.9963 0.0000
Ag4 0.5000 0.1885 0.3769
Au7 0.7166 0.0037 0.0000
Au8 0.7500 0.5025 0.5000

Summary:
Fermi-level density of states = 2.960 states/eV/f.u.
distance to the lowest polymorph of the same formula = 0 meV per atom

---

(3)
Material: Ag8Hg2Au
Method: DFT, PBE
State: relaxed

Cell lengths 4.9857, 7.1866, 7.1866 Å; angles 82.40, 77.12, 77.12 degrees
Atoms (fractional coordinates):
Ag1 0.8785 0.2785 0.2785
Ag2 0.2925 0.4319 0.4319
Ag3 0.8106 0.6670 0.1681
Hg1 0.5500 0.8439 0.8439
Hg2 0.4500 0.1561 0.1561
Ag4 0.1894 0.8319 0.3330
Ag5 0.8106 0.1681 0.6670
Ag6 0.1894 0.3330 0.8319
Ag7 0.1215 0.7215 0.7215
Ag8 0.7075 0.5681 0.5681
Au1 0.0000 0.0000 0.0000

Summary:
Fermi-level density of states = 2.556 states/eV/f.u.
distance to the lowest polymorph of the same formula = 135 meV per atom

---

(4)
Material: AgHg2Au2
Method: DFT, PBE
State: relaxed

Cell lengths 4.0275, 4.0275, 7.4713 Å; angles 74.36, 74.36, 90.00 degrees
Atoms (fractional coordinates):
Hg1 0.2500 0.7500 0.5000
Au1 0.4044 0.4044 0.1912
Au2 0.5956 0.5956 0.8088
Ag1 0.0000 0.0000 0.0000
Hg2 0.7500 0.2500 0.5000

Summary:
Fermi-level density of states = 1.125 states/eV/f.u.
distance to the lowest polymorph of the same formula = 109 meV per atom

---

(5)
Material: Ag2Hg2Au
Method: DFT, PBE
State: relaxed

Cell lengths 5.7011, 5.6981, 7.0658 Å; angles 109.37, 104.94, 86.37 degrees
Atoms (fractional coordinates):
Ag1 0.4182 0.2284 0.6267
Ag2 0.8613 0.5096 0.6402
Hg1 0.9402 0.0416 0.7485
Ag3 0.1387 0.4904 0.3598
Hg2 0.0598 0.9584 0.2515
Ag4 0.5818 0.7716 0.3733
Au1 0.2472 0.4898 0.9847
Hg3 0.4255 0.8013 0.7778
Hg4 0.5745 0.1987 0.2222
Au2 0.7528 0.5102 0.0153

Summary:
Fermi-level density of states = 1.414 states/eV/f.u.
distance to the lowest polymorph of the same formula = 0 meV per atom

---

(6)
Material: Ag2Hg2Au15
Method: DFT, PBE
State: relaxed

Cell lengths 7.3131, 7.3131, 7.3131 Å; angles 83.07, 83.07, 83.07 degrees
Atoms (fractional coordinates):
Au1 0.6597 0.6597 0.1597
Au2 0.6811 0.3189 0.0000
Au3 0.0000 0.5000 0.0000
Au4 0.0000 0.3189 0.6811
Au5 0.3403 0.3403 0.8403
Au6 0.1597 0.6597 0.6597
Hg1 0.3721 0.3721 0.3721
Au7 0.3189 0.6811 0.0000
Au8 0.0000 0.0000 0.5000
Au9 0.3403 0.8403 0.3403
Au10 0.6597 0.1597 0.6597
Ag1 0.9003 0.9003 0.9003
Au11 0.6811 0.0000 0.3189
Au12 0.5000 0.0000 0.0000
Hg2 0.6279 0.6279 0.6279
Ag2 0.0997 0.0997 0.0997
Au13 0.3189 0.0000 0.6811
Au14 0.8403 0.3403 0.3403
Au15 0.0000 0.6811 0.3189

Summary:
Fermi-level density of states = 5.030 states/eV/f.u.
E = -2.8526 eV per atom

---

(7)
Material: AgHgAu2
Method: DFT, PBE
State: relaxed

Cell lengths 3.9499, 3.9499, 6.9911 Å; angles 73.59, 73.59, 60.00 degrees
Atoms (fractional coordinates):
Ag1 0.4996 0.4996 0.5012
Au1 0.0874 0.0874 0.7379
Hg1 0.6671 0.6671 0.9988
Au2 0.2460 0.2460 0.2620

Summary:
Fermi-level density of states = 0.862 states/eV/f.u.
E = -2.2479 eV per atom

---

(8)
Material: Ag3HgAu6
Method: DFT, PBE
State: relaxed

Cell lengths 5.1061, 7.7981, 10.6279 Å; angles 114.19, 72.41, 101.64 degrees
Atoms (fractional coordinates):
Au1 0.7527 0.9487 0.0968
Ag1 0.2489 0.7498 0.0012
Ag2 0.7511 0.2502 0.9988
Ag3 0.7499 0.4536 0.6031
Ag4 0.2473 0.3536 0.8026
Au2 0.2552 0.8440 0.2948
Ag5 0.7527 0.6464 0.1974
Au3 0.2467 0.6485 0.7029
Au4 0.2517 0.4487 0.0980
Hg1 0.2399 0.9488 0.6030
Au5 0.7533 0.3515 0.2971
Au6 0.2473 0.0513 0.9032
Au7 0.2588 0.1507 0.1972
Ag6 0.2501 0.5464 0.3969
Au8 0.7412 0.8493 0.8028
Au9 0.7457 0.7424 0.4980
Au10 0.7483 0.5513 0.9020
Au11 0.7448 0.1560 0.7052
Au12 0.2543 0.2576 0.5020
Hg2 0.7601 0.0512 0.3970

Summary:
Fermi-level density of states = 2.634 states/eV/f.u.
distance to the lowest polymorph of the same formula = 0 meV per atom